1.
The following is a PBE calculation of an optimized crystal structure of Nd4GaBr5, from the Open Quantum Materials Database.

## Properties
* SG: C2/m, No. 12

a = 9.6643 Å, b = 9.6643 Å, c = 8.7070 Å
α = 102.70°, β = 102.70°, γ = 25.20°
Fractional positions:
Nd  0.0005  0.0005  0.2311
Nd  0.3460  0.3460  0.9187
Nd  0.6540  0.6540  0.0813
Nd  0.9995  0.9995  0.7689
Ga  0.5000  0.5000  0.0000
Br  0.1668  0.1668  0.3302
Br  0.1707  0.1707  0.8385
Br  0.5000  0.5000  0.5000
Br  0.8293  0.8293  0.1615
Br  0.8332  0.8332  0.6698


2.
The following is a PBE calculation of an optimized crystal structure of AcGdHo, from the Open Quantum Materials Database.

## Properties
* SG: F-43m, No. 216
* ΔE_f: 2.03 eV/f.u.

a = 5.6304 Å, b = 5.6304 Å, c = 5.6304 Å
α = 60.00°, β = 60.00°, γ = 60.00°
Fractional positions:
Ac  0.0000  0.0000  0.0000
Gd  0.5000  0.5000  0.5000
Ho  0.7500  0.7500  0.7500


3.
The following is a PBE calculation of an optimized crystal structure of Rb3Ni2, from the Open Quantum Materials Database.

## Properties
* SG: R-3c, No. 167

a = 9.3169 Å, b = 9.3169 Å, c = 9.3169 Å
α = 55.60°, β = 55.60°, γ = 55.60°
Fractional positions:
Rb  0.0526  0.7500  0.4474
Rb  0.2500  0.5526  0.9474
Rb  0.4474  0.0526  0.7500
Rb  0.5526  0.9474  0.2500
Rb  0.7500  0.4474  0.0526
Rb  0.9474  0.2500  0.5526
Ni  0.1497  0.1497  0.1497
Ni  0.3503  0.3503  0.3503
Ni  0.6497  0.6497  0.6497
Ni  0.8503  0.8503  0.8503


4.
The following is a PBE calculation of an optimized crystal structure of GdHoU, from the Open Quantum Materials Database.

## Properties
* SG: F-43m, No. 216
* ΔE_f: 3.85 eV/f.u.

a = 5.2203 Å, b = 5.2203 Å, c = 5.2203 Å
α = 60.00°, β = 60.00°, γ = 60.00°
Fractional positions:
Gd  0.0000  0.0000  0.0000
Ho  0.7500  0.7500  0.7500
U  0.5000  0.5000  0.5000


5.
The following is a PBE calculation of an optimized crystal structure of MgCoCuSi, from the Open Quantum Materials Database.

## Properties
* SG: F-43m, No. 216

a = 4.1136 Å, b = 4.1136 Å, c = 4.1136 Å
α = 60.00°, β = 60.00°, γ = 60.00°
Fractional positions:
Mg  0.0000  0.0000  0.0000
Co  0.7500  0.7500  0.7500
Cu  0.2500  0.2500  0.2500
Si  0.5000  0.5000  0.5000


6.
The following is a PBE calculation of an optimized crystal structure of HfCuPtPb, from the Open Quantum Materials Database.

## Properties
* SG: F-43m, No. 216

a = 4.7134 Å, b = 4.7134 Å, c = 4.7134 Å
α = 60.00°, β = 60.00°, γ = 60.00°
Fractional positions:
Hf  0.0000  0.0000  0.0000
Cu  0.7500  0.7500  0.7500
Pt  0.2500  0.2500  0.2500
Pb  0.5000  0.5000  0.5000


Number 1: spin magnetization 0.01 μB per cell, energy -4.482 eV/atom. Number 2: spin magnetization 0.00 μB per cell, energy -3.770 eV/atom. Number 3: spin magnetization 1.99 μB per cell, energy -1.936 eV/atom. Number 4: spin magnetization 3.52 μB per cell, energy -5.561 eV/atom. Number 5: spin magnetization 0.00 μB per cell, energy -4.582 eV/atom. Number 6: spin magnetization 0.00 μB per cell, energy -6.120 eV/atom.